No. 1
Entry from Alexandria via LeMat-Bulk: crystalline YTcPbO6 at its relaxed geometry (GGA-PBE).

As for the uncorrected formation energy: -1.82 eV/atom. As for the total energy: -66.7 eV/cell.

Structure (CIF):
```
data_YTcPbO6
_chemical_formula_sum 'Y1 Tc1 Pb1 O6'
_space_group_name_H-M_alt 'P 3 1 2'
_space_group_IT_number 149
_cell_length_a 5.5899
_cell_length_b 5.5899
_cell_length_c 5.1119
_cell_angle_alpha 90.00
_cell_angle_beta 90.00
_cell_angle_gamma 120.00
loop_
_space_group_symop_operation_xyz
'x,y,z'
'-y,x-y,z'
'-x+y,-x,z'
'-y,-x,-z'
'-x+y,y,-z'
'x,x-y,-z'
loop_
_atom_site_label
_atom_site_type_symbol
_atom_site_fract_x
_atom_site_fract_y
_atom_site_fract_z
_atom_site_occupancy
Y1 Y 0.0000 0.0000 0.0000 1
Tc1 Tc 0.3333 0.6667 0.0000 1
Pb1 Pb 0.6667 0.3333 0.5000 1
O1 O 0.0605 0.3779 0.2133 1
```



No. 2
Entry from Alexandria via LeMat-Bulk: crystalline Y2TcPbO8 at its relaxed geometry (GGA-PBE).

As for the uncorrected formation energy: -2.09 eV/atom. As for the total energy: -183.6 eV/cell.

Structure (CIF):
```
data_Y2TcPbO8
_chemical_formula_sum 'Y4 Tc2 Pb2 O16'
_space_group_name_H-M_alt 'C m m m'
_space_group_IT_number 65
_space_group_name_Hall '-C 2 2'
_cell_length_a 6.990
_cell_length_b 7.188
_cell_length_c 6.872
_cell_angle_alpha 90.00
_cell_angle_beta 90.00
_cell_angle_gamma 90.00
loop_
_atom_site_label
_atom_site_type_symbol
_atom_site_fract_x
_atom_site_fract_y
_atom_site_fract_z
_atom_site_occupancy
Y1 Y 0.000 0.000 0.245 1
Tc1 Tc 0.000 0.500 0.000 1
Pb1 Pb 0.000 0.500 0.500 1
O1 O 0.000 0.318 0.207 1
O2 O 0.192 0.000 0.500 1
O3 O 0.227 0.000 0.000 1
```



No. 3
Entry from Alexandria via LeMat-Bulk: crystalline Zn2TcPbO6 at its relaxed geometry (GGA-PBE).

As for the uncorrected formation energy: -1.24 eV/atom. As for the total energy: -235.3 eV/cell.

Structure (CIF):
```
data_Zn2TcPbO6
_chemical_formula_sum 'Zn8 Tc4 Pb4 O24'
_space_group_name_H-M_alt 'C 1 2/c 1'
_space_group_IT_number 15
_cell_length_a 11.916
_cell_length_b 10.105
_cell_length_c 6.810
_cell_angle_alpha 90.00
_cell_angle_beta 121.78
_cell_angle_gamma 90.00
loop_
_space_group_symop_operation_xyz
'x,y,z'
'-x,-y,-z'
'-x,y,-z+1/2'
'x,-y,z+1/2'
'x+1/2,y+1/2,z'
'-x+1/2,-y+1/2,-z'
'-x+1/2,y+1/2,-z+1/2'
'x+1/2,-y+1/2,z+1/2'
loop_
_atom_site_label
_atom_site_type_symbol
_atom_site_fract_x
_atom_site_fract_y
_atom_site_fract_z
_atom_site_occupancy
Zn1 Zn 0.196 0.039 0.156 1
Tc1 Tc 0.000 0.324 0.750 1
Pb1 Pb 0.000 0.226 0.250 1
O1 O 0.097 0.221 0.001 1
O2 O 0.107 0.412 0.687 1
O3 O 0.158 0.066 0.395 1
```